The following is a DFT calculation (PBE with a Hubbard U) of K2FeCoO4 after structural relaxation.

Cell: 11.6878 10.5370 6.2405 Å, 84.17 63.75 32.08°
Atoms (fractional coordinates):
K 0.0451 0.0451 0.7049
K 0.2951 0.2951 0.9549
K 0.7049 0.7049 0.0451
K 0.9549 0.9549 0.2951
Fe 0.1250 0.1250 0.1250
Fe 0.8750 0.8750 0.8750
Co 0.3750 0.3750 0.3750
Co 0.6250 0.6250 0.6250
O 0.0233 0.3317 0.3818
O 0.2368 0.6182 0.6683
O 0.3317 0.0233 0.7632
O 0.3818 0.7632 0.0233
O 0.6182 0.2368 0.9767
O 0.6683 0.9767 0.2368
O 0.7632 0.3818 0.3317
O 0.9767 0.6683 0.6182

Properties
DOS(E_F) (states/eV per atom): 0.07
Raw total energy (eV/atom): -5.249